(1)
VASP calculation (PBE) on an optimized crystal structure of ScSbMo2.

The structure belongs to space group R3m (No. 160, hexagonal axes); the cell edges are 3.2091, 3.2091 and 26.3742 Å and the angles 90.00°, 90.00° and 120.00°. Symmetry generates all atoms from Sc at (0.0000, 0.0000, 0.0000), Sb at (0.0000, 0.0000, 0.7647), Mo at (0.0000, 0.0000, 0.2507) and Mo at (0.0000, 0.0000, 0.5140).

Its spin magnetization is 0.0 μB/f.u.

(2)
VASP calculation (PBE) on an optimized crystal structure of Sc2SbMo.

The structure belongs to space group Pm (No. 6); the cell edges are 3.550, 4.511 and 5.586 Å and the angles 90.00°, 108.40° and 90.00°. Symmetry generates all atoms from Sc at (0.000, 0.000, 0.000), Sc at (0.301, 0.500, 0.607), Sb at (0.719, 0.000, 0.442) and Mo at (0.569, 0.500, 0.137).

Its spin magnetization is 0.0 μB/f.u.

(3)
VASP calculation (PBE) on an optimized crystal structure of ScSbMo2.

The structure belongs to space group I-42d (No. 122); the cell edges are 7.654, 7.654 and 5.548 Å and the angles 90.00°, 90.00° and 90.00°. Symmetry generates all atoms from Sc at (0.000, 0.000, 0.000), Sb at (0.000, 0.000, 0.500) and Mo at (0.226, 0.250, 0.625).

Its spin magnetization is 0.0 μB/f.u.

(4)
VASP calculation (PBE) on an optimized crystal structure of ScSbMo2.

The structure belongs to space group Fm-3m (No. 225); the cell edges are 6.591, 6.591 and 6.591 Å and the angles 90.00°, 90.00° and 90.00°. Symmetry generates all atoms from Sc at (0.000, 0.000, 0.000), Sb at (0.000, 0.000, 0.500) and Mo at (0.250, 0.250, 0.250).

Its spin magnetization is 1.9 μB/f.u.

Sequential excess energy over the best structure of this formula in the dataset output: 0.194 0.124 0.786 0.264 eV/atom
Sequential energy relative to the elements, uncorrected output: 0.130 -0.198 0.721 0.199 eV per atom
Sequential E_tot output: -7.900 -7.102 -7.308 -7.830 eV/atom